Record 1
Ac2CuSi5 GGA-PBE relaxed; SG = No. 107; formation energy (no corrections) = -0.2646 eV/atom
1.0
5.6666 0.0000 0.0000
0.0000 5.6666 0.0000
0.0000 0.0000 10.8382
Ac Cu Si
4 2 10
Direct
0.0000 0.5000 0.0000
0.0000 0.5000 0.5000
0.5000 0.0000 0.0000
0.5000 0.0000 0.5000
0.0000 0.0000 0.3577
0.5000 0.5000 0.8577
0.0000 0.0000 0.1362
0.2201 0.2201 0.7527
0.2201 0.7799 0.7527
0.2799 0.2799 0.2527
0.2799 0.7201 0.2527
0.5000 0.5000 0.6362
0.7201 0.2799 0.2527
0.7201 0.7201 0.2527
0.7799 0.2201 0.7527
0.7799 0.7799 0.7527

=====

Record 2
CeNp2TcN4 GGA-PBE relaxed; SG = No. 63; formation energy (no corrections) = -0.9699 eV/atom
1.0
1.6734 -5.8397 0.0000
1.6734 5.8397 0.0000
0.0000 0.0000 11.5647
Ce Np Tc N
2 4 2 8
Direct
0.1079 0.8921 0.7500
0.8921 0.1079 0.2500
0.3693 0.6307 0.5510
0.3693 0.6307 0.9490
0.6307 0.3693 0.0510
0.6307 0.3693 0.4490
0.1513 0.8487 0.2500
0.8487 0.1513 0.7500
0.0000 0.0000 0.0000
0.0000 0.0000 0.5000
0.2711 0.7289 0.1171
0.2711 0.7289 0.3829
0.4574 0.5426 0.7500
0.5426 0.4574 0.2500
0.7289 0.2711 0.6171
0.7289 0.2711 0.8829

=====

Question: Number 1 is which compound?
Answer: Ac2CuSi5

=====

Question: Which value of formation energy (no corrections) does entry 2 give?
Answer: -0.9699 eV/atom